# CdNiHgF6 | the Alexandria database | PBE+U | relaxed
# Crystal system ... trigonal
# VASP energy ... -3.5735 eV/atom
data_CdNiHgF6
_chemical_formula_sum 'Cd2 Ni2 Hg2 F12'
_cell_length_a 5.6765
_cell_length_b 5.6765
_cell_length_c 9.3329
_cell_angle_alpha 90.00
_cell_angle_beta 90.00
_cell_angle_gamma 120.00
_space_group_name_H-M_alt 'P -3 1 c'
_space_group_IT_number 163
_space_group_name_Hall '-P 3 2c'
loop_
_atom_site_label
_atom_site_type_symbol
_atom_site_fract_x
_atom_site_fract_y
_atom_site_fract_z
Cd1 Cd 0.0000 0.0000 0.0000
Ni1 Ni 0.3333 0.6667 0.2500
Hg1 Hg 0.3333 0.6667 0.7500
F1 F 0.0408 0.3602 0.1301